(1)
The following is a GGA-PBEsol calculation of crystalline KBr2Cl at its relaxed geometry, from Alexandria.

Unit cell a=5.407 b=5.407 c=5.407 alpha=60.00 beta=60.00 gamma=60.00
Atoms (fractional coordinates):
K: 0.000 0.000 0.000
Br: 0.250 0.250 0.250
Br: 0.750 0.750 0.750
Cl: 0.500 0.500 0.500

Computed properties:
* density: 3482 kg/m3
* space-group type: Fm-3m
* total energy: -2.183 eV per atom
* formation energy without anion corrections: -1.85 eV per formula unit
* energy above the lowest structure with this stoichiometry: 484 meV/atom
* Fermi-level density of states: 4.1 states/eV/cell

=====

(2)
The following is a GGA-PBEsol calculation of crystalline K2BrCl at its relaxed geometry, from Alexandria.

Unit cell a=4.523 b=4.523 c=6.397 alpha=90.00 beta=90.00 gamma=90.00
Atoms (fractional coordinates):
K: 0.000 0.000 0.000
K: 0.500 0.500 0.500
Br: 0.000 0.000 0.500
Cl: 0.500 0.500 0.000

Computed properties:
* density: 2456 kg/m3
* space-group type: P4/mmm
* total energy: -3.362 eV per atom
* formation energy without anion corrections: -7.30 eV per formula unit
* energy above the lowest structure with this stoichiometry: 5 meV/atom
* Fermi-level density of states: 0.0 states/eV/cell

=====

(3)
The following is a GGA-PBEsol calculation of crystalline KBrCl2 at its relaxed geometry, from Alexandria.

Unit cell a=7.426 b=7.426 c=7.426 alpha=148.48 beta=148.48 gamma=45.18
Atoms (fractional coordinates):
K: 0.000 0.000 0.000
Br: 0.750 0.250 0.500
Cl: 0.250 0.750 0.500
Cl: 0.500 0.500 0.000

Computed properties:
* density: 2827 kg/m3
* space-group type: I-4m2
* total energy: -2.481 eV per atom
* formation energy without anion corrections: -2.90 eV per formula unit
* Fermi-level density of states: 5.7 states/eV/cell

=====

(4)
The following is a GGA-PBEsol calculation of crystalline K2BrCl at its relaxed geometry, from Alexandria.

Unit cell a=5.007 b=6.370 c=6.370 alpha=36.88 beta=90.00 gamma=90.00
Atoms (fractional coordinates):
K: 0.000 0.000 0.000
K: 0.500 0.237 0.237
Br: 0.500 0.503 0.503
Cl: 0.000 0.743 0.743

Computed properties:
* density: 2636 kg/m3
* space-group type: Amm2
* total energy: -3.318 eV per atom
* formation energy without anion corrections: -7.13 eV per formula unit
* energy above the lowest structure with this stoichiometry: 50 meV/atom
* Fermi-level density of states: 0.0 states/eV/cell

=====

(5)
The following is a GGA-PBEsol calculation of crystalline KLiBr2Cl at its relaxed geometry, from Alexandria.

Unit cell a=5.778 b=5.778 c=12.189 alpha=90.00 beta=90.00 gamma=90.00
Atoms (fractional coordinates):
K: 0.000 0.000 0.000
Li: 0.000 0.000 0.500
Br: 0.000 0.500 0.000
Br: 0.500 0.000 0.000
Cl: 0.500 0.500 0.500

Computed properties:
* density: 985 kg/m3
* space-group type: P4/mmm
* total energy: -2.224 eV per atom
* formation energy without anion corrections: -2.27 eV per formula unit
* Fermi-level density of states: 5.9 states/eV/cell

=====

(6)
The following is a GGA-PBEsol calculation of crystalline K2OsBrCl at its relaxed geometry, from Alexandria.

Unit cell a=6.183 b=6.183 c=4.534 alpha=90.00 beta=90.00 gamma=90.00
Atoms (fractional coordinates):
K: 0.000 0.500 0.000
K: 0.500 0.000 0.000
Os: 0.000 0.000 0.000
Br: 0.000 0.000 0.500
Cl: 0.500 0.500 0.500

Computed properties:
* density: 3677 kg/m3
* space-group type: P4/mmm
* total energy: -3.602 eV per atom
* formation energy without anion corrections: 0.35 eV per formula unit
* Fermi-level density of states: 3.5 states/eV/cell

=====

(7)
The following is a GGA-PBEsol calculation of crystalline LaBrCl2 at its relaxed geometry, from Alexandria.

Unit cell a=6.792 b=6.792 c=4.236 alpha=90.00 beta=90.00 gamma=129.15
Atoms (fractional coordinates):
La: 0.000 0.000 0.000
Br: 0.500 0.500 0.000
Cl: 0.145 0.855 0.500
Cl: 0.855 0.145 0.500

Computed properties:
* density: 3174 kg/m3
* space-group type: Cmmm
* total energy: -4.951 eV per atom
* formation energy without anion corrections: -8.57 eV per formula unit
* energy above the lowest structure with this stoichiometry: 32 meV/atom
* Fermi-level density of states: 0.0 states/eV/cell

=====

(8)
The following is a GGA-PBEsol calculation of crystalline LaBrCl2 at its relaxed geometry, from Alexandria.

Unit cell a=6.510 b=6.510 c=6.510 alpha=145.72 beta=131.51 gamma=60.72
Atoms (fractional coordinates):
La: 0.000 0.000 0.000
Br: 0.500 0.500 0.000
Cl: 0.179 0.679 0.500
Cl: 0.821 0.321 0.500

Computed properties:
* density: 4176 kg/m3
* space-group type: Immm
* total energy: -4.851 eV per atom
* formation energy without anion corrections: -8.17 eV per formula unit
* energy above the lowest structure with this stoichiometry: 132 meV/atom
* Fermi-level density of states: 0.0 states/eV/cell